Entry from Alexandria via LeMat-Bulk: Sm6ZnAg after structural relaxation (PBE).

Lattice parameters (Å, degrees): 5.1649 5.1649 9.5663 74.34 74.32 90.00
Last column: nearest neighbours and their distance in Å.
Positions (direct):
Sm 0.7486 0.7487 0.5026  12 Sm 3.61-3.65
Sm 0.6059 0.1058 0.7884  2 Ag 3.19, 2 Zn 3.19
Sm 0.1059 0.6058 0.7884  2 Zn 3.19, 2 Ag 3.19
Sm 0.3941 0.8942 0.2116  2 Ag 3.19, 2 Zn 3.19
Sm 0.2514 0.2513 0.4974  12 Sm 3.61-3.65
Sm 0.8941 0.3942 0.2116  2 Zn 3.19, 2 Ag 3.19
Zn 0.5000 0.5000 0.0000  8 Sm 3.19
Ag 0.0000 0.0000 0.0000  8 Sm 3.19

Output
For the formation energy, the calculation gives -0.1298 eV per atom. Its density of states at the Fermi level is 1.177 states/eV per atom. Its symmetry is I4/mmm, No. 139.